(1)
The following is a PBE calculation of a relaxed structure of LaEr2Ge, from the Alexandria database.

a = 3.993 Å, b = 3.993 Å, c = 9.524 Å
α = 77.90°, β = 77.90°, γ = 60.00°
Fractional positions:
La (0.503, 0.503, 0.491)
Er (0.057, 0.057, 0.828)
Er (0.275, 0.275, 0.176)
Ge (0.665, 0.665, 0.004)

Summary:
Size of the total moment: 0.01 μB/atom
DOS(E_F): 1.30 states/eV/atom
SG: R3m (160)
Formation enthalpy at 0 K: -242 meV per atom

(2)
The following is a PBE calculation of a relaxed structure of Pr6ErMg, from the Alexandria database.

a = 6.535 Å, b = 8.778 Å, c = 9.026 Å
α = 68.37°, β = 96.44°, γ = 44.26°
Fractional positions:
Pr (0.195, 0.327, 0.754)
Pr (0.785, 0.931, 0.652)
Pr (0.454, 0.326, 0.154)
Pr (0.215, 0.069, 0.348)
Pr (0.805, 0.673, 0.246)
Pr (0.546, 0.674, 0.846)
Er (0.500, 0.500, 0.500)
Mg (0.000, 0.000, 0.000)

Summary:
Size of the total moment: 0.00 μB/atom
Energy above the lowest structure with this stoichiometry: 0.60 eV/f.u.
DOS(E_F): 1.49 states/eV/atom
SG: P-1 (2)
Formation enthalpy at 0 K: 72 meV per atom

Q: Among the records above, which one has the highest formation enthalpy at 0 K?
A: Pr6ErMg

Q: Look up the size of the total moment of the second one.
A: 0.00 μB/atom

Repeat the first record exactly.
The following is a PBE calculation of a relaxed structure of LaEr2Ge, from the Alexandria database.

a = 3.993 Å, b = 3.993 Å, c = 9.524 Å
α = 77.90°, β = 77.90°, γ = 60.00°
Fractional positions:
La (0.503, 0.503, 0.491)
Er (0.057, 0.057, 0.828)
Er (0.275, 0.275, 0.176)
Ge (0.665, 0.665, 0.004)

Summary:
Size of the total moment: 0.01 μB/atom
DOS(E_F): 1.30 states/eV/atom
SG: R3m (160)
Formation enthalpy at 0 K: -242 meV per atom

Q: What is the formula in the first record?
A: LaEr2Ge